(1)
Compound: Pu4GeP2
Source: Alexandria via LeMat-Bulk
Functional: PBE
Structure: relaxed

CIF file:
```
data_Pu4GeP2
_chemical_formula_sum 'Pu16 Ge4 P8'
_space_group_name_H-M_alt 'I -4 2 d'
_space_group_IT_number 122
_space_group_name_Hall 'I -4 2bw'
_cell_length_a 8.575
_cell_length_b 8.575
_cell_length_c 8.609
_cell_angle_alpha 90.00
_cell_angle_beta 90.00
_cell_angle_gamma 90.00
loop_
_atom_site_label
_atom_site_type_symbol
_atom_site_fract_x
_atom_site_fract_y
_atom_site_fract_z
Pu1 Pu 0.074 0.672 0.444
Ge1 Ge 0.000 0.000 0.500
P1 P 0.128 0.750 0.125
```

volume = 22.61 A^3/atom
DFT total energy = -11.23 eV per atom
spin magnetization = 22.00 μB per formula unit
DFT formation energy = -0.832 eV/atom


(2)
Compound: Mg2TaSb
Source: Alexandria via LeMat-Bulk
Functional: PBE
Structure: relaxed

CIF file:
```
data_Mg2TaSb
_chemical_formula_sum 'Mg4 Ta2 Sb2'
_space_group_name_H-M_alt 'C m m m'
_space_group_IT_number 65
_space_group_name_Hall '-C 2 2'
_cell_length_a 5.774
_cell_length_b 9.415
_cell_length_c 3.074
_cell_angle_alpha 90.00
_cell_angle_beta 90.00
_cell_angle_gamma 90.00
loop_
_atom_site_label
_atom_site_type_symbol
_atom_site_fract_x
_atom_site_fract_y
_atom_site_fract_z
Mg1 Mg 0.250 0.250 0.000
Ta1 Ta 0.000 0.000 0.500
Sb1 Sb 0.000 0.500 0.500
```

volume = 20.89 A^3/atom
DFT total energy = -4.61 eV per atom
spin magnetization = 0.00 μB per formula unit
formation energy (no corrections) = 0.183 eV per atom


Q: Among the records above, which one has the highest spin magnetization?
A: Pu4GeP2


Q: What is the DFT total energy in the second record?
A: -4.61 eV per atom


Q: What is the formula in the second record?
A: Mg2TaSb


Copy entry 1 word for word.
Compound: Pu4GeP2
Source: Alexandria via LeMat-Bulk
Functional: PBE
Structure: relaxed

CIF file:
```
data_Pu4GeP2
_chemical_formula_sum 'Pu16 Ge4 P8'
_space_group_name_H-M_alt 'I -4 2 d'
_space_group_IT_number 122
_space_group_name_Hall 'I -4 2bw'
_cell_length_a 8.575
_cell_length_b 8.575
_cell_length_c 8.609
_cell_angle_alpha 90.00
_cell_angle_beta 90.00
_cell_angle_gamma 90.00
loop_
_atom_site_label
_atom_site_type_symbol
_atom_site_fract_x
_atom_site_fract_y
_atom_site_fract_z
Pu1 Pu 0.074 0.672 0.444
Ge1 Ge 0.000 0.000 0.500
P1 P 0.128 0.750 0.125
```

volume = 22.61 A^3/atom
DFT total energy = -11.23 eV per atom
spin magnetization = 22.00 μB per formula unit
DFT formation energy = -0.832 eV/atom